1.
YBe2Zn2: relaxed, GGA-PBE.

Output
E above lowest polymorph   0 meV/atom
Size of the total moment   0.01 Bohr magnetons per cell
Space group   No. 139

abc: 3.9265 3.9265 5.6209
angles: 110.44 110.44 90.00
Closest atoms and distances in Å follow each position.
Element x y z (fractional)
1 Be 0.6118 0.6118 0.2236  1 Be 2.19, 4 Zn 2.38
2 Be 0.3882 0.3882 0.7764  1 Be 2.19, 4 Zn 2.38
3 Y 0.0000 0.0000 0.0000  8 Be 2.98, 8 Zn 3.13
4 Zn 0.7500 0.2500 0.5000  4 Be 2.38
5 Zn 0.2500 0.7500 0.5000  4 Be 2.38



2.
UTeMo: relaxed, GGA-PBE.

Output
E above lowest polymorph   0 meV/atom
Size of the total moment   2.97 Bohr magnetons per cell
Space group   No. 216

abc: 4.7277 4.7277 4.7277
angles: 60.00 60.00 60.00
Closest atoms and distances in Å follow each position.
Element x y z (fractional)
1 Mo 0.2500 0.2500 0.2500  4 Te 2.90
2 Te 0.0000 0.0000 0.0000  4 Mo 2.90, 4 U 2.90
3 U 0.7500 0.7500 0.7500  4 Te 2.90



Values of raw total energy, in order: -3.474 -7.648, all in eV per atom.